#i
This record from Alexandria describes a geometry-optimized LiMnIO2 structure. The functional is PBE with a Hubbard U.

Cell and atoms, written as extended XYZ:
```
5
Lattice="-0.503 0.578 3.911 -1.817 -4.892 0.489 3.704 -1.309 0.670" Properties=species:S:1:pos:R:3 pbc="T T T"
O 1.852 -0.655 0.335
I 0.692 -2.812 2.535
Mn -0.909 -2.446 0.244
Li 0.000 0.000 0.000
O -0.252 0.289 1.955
```



#ii
This record from Alexandria describes a geometry-optimized LiMnIO2 structure. The functional is PBE with a Hubbard U.

Cell and atoms, written as extended XYZ:
```
5
Lattice="-1.246 1.453 3.544 -3.827 -0.624 -1.090 0.202 -4.793 2.036" Properties=species:S:1:pos:R:3 pbc="T T T"
O -0.623 0.727 1.772
Mn -2.436 -1.982 2.245
Li 0.000 0.000 0.000
I 0.101 -2.396 1.018
O -1.914 -0.312 -0.545
```



#iii
This record from Alexandria describes a geometry-optimized LiMnIO2 structure. The functional is PBE with a Hubbard U.

Cell and atoms, written as extended XYZ:
```
5
Lattice="-3.184 -1.670 -1.273 1.304 0.240 -3.576 2.847 -5.918 0.640" Properties=species:S:1:pos:R:3 pbc="T T T"
I 1.424 -2.959 0.320
Li 0.483 -3.674 -2.105
O 0.652 0.120 -1.788
Mn 0.000 0.000 0.000
O -1.592 -0.835 -0.637
```



Least stable: #i